Record 1
A relaxed La2Dy5TmTh crystal, computed with PBE.

a b c (Å): 10.262 10.262 10.924
angles (deg): 90.00 90.00 148.18
Positions (direct):
La 0.116 0.884 0.500
La 0.116 0.884 0.920
La 0.884 0.116 0.000
La 0.884 0.116 0.420
Dy 0.014 0.986 0.211
Dy 0.280 0.720 0.498
Dy 0.299 0.701 0.894
Dy 0.389 0.611 0.205
Dy 0.482 0.518 0.923
Dy 0.518 0.482 0.423
Dy 0.611 0.389 0.705
Dy 0.701 0.299 0.394
Dy 0.720 0.280 0.998
Dy 0.986 0.014 0.711
Tm 0.201 0.799 0.194
Tm 0.799 0.201 0.694
Th 0.416 0.584 0.647
Th 0.584 0.416 0.147

Output
* E_tot: -4.8084 eV/atom
* D(E_F): 26.54 states/eV/cell
* space group: No. 36
* crystal system: orthorhombic
* total magnetization: 0.000 μB per formula unit
* energy relative to the elements: 0.165 eV/atom


Record 2
A relaxed ReHg2Pb crystal, computed with PBE.

a b c (Å): 7.346 7.346 7.346
angles (deg): 156.47 143.02 44.30
Positions (direct):
Re 0.000 0.000 0.000
Hg 0.187 0.687 0.500
Hg 0.813 0.313 0.500
Pb 0.500 0.500 0.000

Output
* E_tot: -3.4735 eV/atom
* D(E_F): 2.45 states/eV/cell
* space group: No. 71
* crystal system: orthorhombic
* total magnetization: 0.000 μB per formula unit
* energy relative to the elements: 0.717 eV/atom


Record 3
A relaxed SrY2Cu crystal, computed with PBE.

a b c (Å): 6.770 6.770 6.770
angles (deg): 148.00 132.07 58.80
Positions (direct):
Sr 0.000 0.000 0.000
Y 0.300 0.800 0.500
Y 0.609 0.609 0.000
Cu 0.786 0.286 0.500

Output
* E_tot: -4.5550 eV/atom
* D(E_F): 5.52 states/eV/cell
* space group: No. 44
* crystal system: orthorhombic
* total magnetization: 0.000 μB per formula unit
* distance to the lowest polymorph of the same formula: 114 meV per atom
* energy relative to the elements: 0.121 eV/atom


Record 4
A relaxed BaHgIr2 crystal, computed with PBE.

a b c (Å): 4.449 4.449 4.347
angles (deg): 90.00 90.00 90.00
Positions (direct):
Ba 0.000 0.000 0.000
Hg 0.500 0.500 0.000
Ir 0.000 0.500 0.500
Ir 0.500 0.000 0.500

Output
* E_tot: -4.3356 eV/atom
* D(E_F): 5.61 states/eV/cell
* space group: No. 123
* crystal system: tetragonal
* total magnetization: 0.000 μB per formula unit
* energy relative to the elements: 0.651 eV/atom


Record 5
A relaxed SrTm2CrN4 crystal, computed with PBE.

a b c (Å): 6.122 6.122 11.561
angles (deg): 90.00 90.00 147.80
Positions (direct):
Sr 0.091 0.909 0.750
Sr 0.909 0.091 0.250
Tm 0.370 0.630 0.542
Tm 0.370 0.630 0.958
Tm 0.630 0.370 0.042
Tm 0.630 0.370 0.458
Cr 0.175 0.825 0.250
Cr 0.825 0.175 0.750
N 0.000 0.000 0.000
N 0.000 0.000 0.500
N 0.259 0.741 0.120
N 0.259 0.741 0.380
N 0.405 0.595 0.750
N 0.595 0.405 0.250
N 0.741 0.259 0.620
N 0.741 0.259 0.880

Output
* E_tot: -7.9457 eV/atom
* D(E_F): 3.56 states/eV/cell
* space group: No. 63
* crystal system: orthorhombic
* total magnetization: 1.860 μB per formula unit
* formation energy (no corrections): -1.252 eV per atom


Which volume belongs to each record? In order, 33.70 23.74 30.27 21.51 14.43 A^3/atom.